1.
{"formula": "NaAc2SnS5", "functional": "PBE", "state": "relaxed", "lattice": [[-3.496, -1.982, -1.688], [-1.585, 0.125, 8.767], [-5.530, 10.736, -1.153]], "species": ["S", "S", "S", "S", "S", "S", "S", "S", "S", "S", "Na", "Na", "Ac", "Ac", "Ac", "Ac", "Sn", "Sn"], "fractional_positions": [[0.680, 0.360, 0.851], [0.952, 0.905, 0.571], [0.048, 0.095, 0.071], [0.289, 0.578, 0.671], [0.371, 0.742, 0.001], [0.711, 0.422, 0.171], [0.629, 0.258, 0.501], [0.507, 0.013, 0.270], [0.320, 0.640, 0.351], [0.493, 0.987, 0.770], [0.789, 0.577, 0.508], [0.211, 0.423, 0.008], [0.881, 0.762, 0.185], [0.119, 0.238, 0.685], [0.859, 0.717, 0.802], [0.141, 0.283, 0.302], [0.546, 0.092, 0.964], [0.454, 0.908, 0.464]], "m_tot_mub_per_cell": 0.0, "crystal_system": "orthorhombic", "e_tot_ev_per_atom": -5.289, "raw_formation_energy_ev_per_atom": -1.491}

=====

2.
{"formula": "Li2OsW", "functional": "PBE", "state": "relaxed", "lattice": [[2.568, 0.000, 0.000], [0.000, 4.530, 0.000], [0.000, 0.000, 5.022]], "species": ["Li", "Li", "W", "Os"], "fractional_positions": [[0.000, 0.000, 0.490], [0.000, 0.000, 0.010], [0.500, 0.500, 0.750], [0.500, 0.500, 0.250]], "m_tot_mub_per_cell": 0.0, "ef_ev_per_atom": 0.42, "crystal_system": "orthorhombic", "e_tot_ev_per_atom": -6.584}

=====

3.
{"formula": "Rb3AsS4", "functional": "PBE", "state": "relaxed", "lattice": [[7.284, -0.133, -0.026], [-3.703, 6.274, 0.026], [-3.196, -2.250, 6.148]], "species": ["S", "S", "S", "S", "As", "Rb", "Rb", "Rb"], "fractional_positions": [[0.160, 0.320, 0.481], [0.160, 0.680, 0.840], [0.092, 0.752, 0.340], [0.588, 0.248, 0.340], [0.001, 0.500, 0.501], [0.001, 0.000, 0.001], [0.574, 0.754, 0.328], [0.574, 0.246, 0.820]], "m_tot_mub_per_cell": 0.0, "crystal_system": "orthorhombic", "e_tot_ev_per_atom": -3.798, "raw_formation_energy_ev_per_atom": -0.790}

=====

4.
{"formula": "CaNb2Rh2", "functional": "PBE", "state": "relaxed", "lattice": [[-1.898, -1.899, -3.564], [3.782, 0.546, -2.305], [2.604, -5.371, -1.319]], "species": ["Nb", "Nb", "Rh", "Rh", "Ca"], "fractional_positions": [[0.250, 0.750, 0.500], [0.750, 0.250, 0.500], [0.626, 0.626, 0.747], [0.374, 0.374, 0.253], [0.000, 0.000, 0.000]], "m_tot_mub_per_cell": 0.0, "ef_ev_per_atom": -0.28, "crystal_system": "tetragonal", "e_tot_ev_per_atom": -7.647}